Be2HSe: relaxed, PBE.

Properties
energy above the most stable polymorph in this dataset = 267 meV/atom
DOS at the Fermi energy = 0.84 states/eV per cell

a b c (Å): 3.588 3.588 4.854
angles (deg): 108.63 108.63 74.92
Positions (direct):
Be1 0.244 0.756 0.000
Be2 0.756 0.244 0.000
H1 0.870 0.870 0.786
Se1 0.358 0.358 0.304